(1)
# CaAgSn3

A relaxed structure of CaAgSn3 (PBE-GGA, Alexandria).

The energy is -3.6004 eV/atom.

Structure (CIF):
```
data_CaAgSn3
_cell_length_a 4.660
_cell_length_b 25.855
_cell_length_c 4.609
_cell_angle_alpha 90.00
_cell_angle_beta 90.00
_cell_angle_gamma 90.00
_space_group_name_H-M_alt 'C m m m'
_space_group_IT_number 65
_space_group_name_Hall '-C 2 2'
loop_
_atom_site_label
_atom_site_fract_x
_atom_site_fract_y
_atom_site_fract_z
_atom_site_occupancy
Ca1 0.000 0.168 0.000 1
Ag1 0.000 0.383 0.500 1
Sn1 0.000 0.056 0.500 1
Sn2 0.000 0.280 0.500 1
Sn3 0.000 0.444 0.000 1
```



(2)
# Ca2Ag2Sn3

A relaxed structure of Ca2Ag2Sn3 (PBE-GGA, Alexandria).

The energy is -3.5151 eV/atom. Its energy above the lowest structure with this stoichiometry is 0 meV/atom.

Structure (CIF):
```
data_Ca2Ag2Sn3
_cell_length_a 4.692
_cell_length_b 20.506
_cell_length_c 7.588
_cell_angle_alpha 90.00
_cell_angle_beta 90.00
_cell_angle_gamma 90.00
_space_group_name_H-M_alt 'C m c m'
_space_group_IT_number 63
_space_group_name_Hall '-C 2c 2'
loop_
_atom_site_label
_atom_site_fract_x
_atom_site_fract_y
_atom_site_fract_z
_atom_site_occupancy
Ca1 0.000 0.051 0.250 1
Ca2 0.000 0.160 0.750 1
Ag1 0.000 0.305 0.552 1
Sn1 0.000 0.220 0.250 1
Sn2 0.000 0.434 0.061 1
```



(3)
# CaAg3Sn3

A relaxed structure of CaAg3Sn3 (PBE-GGA, Alexandria).

The energy is -3.3763 eV/atom. Its energy above the lowest structure with this stoichiometry is 6 meV/atom.

Structure (CIF):
```
data_CaAg3Sn3
_cell_length_a 7.5909
_cell_length_b 7.5909
_cell_length_c 20.5736
_cell_angle_alpha 90.00
_cell_angle_beta 90.00
_cell_angle_gamma 120.00
_space_group_name_H-M_alt 'R -3 m'
_space_group_IT_number 166
_space_group_name_Hall '-R 3 2"'
loop_
_atom_site_label
_atom_site_fract_x
_atom_site_fract_y
_atom_site_fract_z
_atom_site_occupancy
Ca1 0.0000 0.0000 0.0938 1
Ag1 0.0806 0.5403 0.3220 1
Sn1 0.0375 0.5187 0.8925 1
```



(4)
# Ca2AgSn

A relaxed structure of Ca2AgSn (PBE-GGA, Alexandria).

The energy is -3.2282 eV/atom.

Structure (CIF):
```
data_Ca2AgSn
_cell_length_a 5.420
_cell_length_b 5.420
_cell_length_c 3.674
_cell_angle_alpha 90.00
_cell_angle_beta 90.00
_cell_angle_gamma 90.00
_space_group_name_H-M_alt 'P 4/m m m'
_space_group_IT_number 123
_space_group_name_Hall '-P 4 2'
loop_
_atom_site_label
_atom_site_fract_x
_atom_site_fract_y
_atom_site_fract_z
_atom_site_occupancy
Ca1 0.000 0.500 0.000 1
Ag1 0.000 0.000 0.500 1
Sn1 0.500 0.500 0.500 1
```



(5)
# Ca2Ag3Sn4

A relaxed structure of Ca2Ag3Sn4 (PBE-GGA, Alexandria).

The energy is -3.4444 eV/atom.

Structure (CIF):
```
data_Ca2Ag3Sn4
_cell_length_a 5.843
_cell_length_b 10.664
_cell_length_c 14.288
_cell_angle_alpha 90.00
_cell_angle_beta 90.00
_cell_angle_gamma 90.00
_space_group_name_H-M_alt 'F m m m'
_space_group_IT_number 69
_space_group_name_Hall '-F 2 2'
loop_
_atom_site_label
_atom_site_fract_x
_atom_site_fract_y
_atom_site_fract_z
_atom_site_occupancy
Ca1 0.000 0.000 0.136 1
Ag1 0.000 0.000 0.500 1
Ag2 0.250 0.250 0.000 1
Sn1 0.000 0.161 0.336 1
```



(6)
# Ca5Ag4Sn

A relaxed structure of Ca5Ag4Sn (PBE-GGA, Alexandria).

The energy is -2.9282 eV/atom.

Structure (CIF):
```
data_Ca5Ag4Sn
_cell_length_a 3.719
_cell_length_b 3.719
_cell_length_c 18.927
_cell_angle_alpha 90.00
_cell_angle_beta 90.00
_cell_angle_gamma 90.00
_space_group_name_H-M_alt 'P 4/m m m'
_space_group_IT_number 123
_space_group_name_Hall '-P 4 2'
loop_
_atom_site_label
_atom_site_fract_x
_atom_site_fract_y
_atom_site_fract_z
_atom_site_occupancy
Ca1 0.000 0.000 0.000 1
Ca2 0.000 0.000 0.195 1
Ca3 0.000 0.000 0.392 1
Ag1 0.500 0.500 0.098 1
Ag2 0.500 0.500 0.293 1
Sn1 0.500 0.500 0.500 1
```